A relaxed structure of Rb2MnSbO4, computed with PBE with a Hubbard U.

abc: 8.3154 8.0040 6.0895
angles: 90.00 129.83 90.00
Closest atoms and distances in Å follow each position.
Atoms (fractional coordinates):
Rb1 0.0000 0.0000 0.0000  6 O 3.01-3.05
Rb2 0.0000 0.2509 0.5000  6 O 2.88-3.12
Rb3 0.5000 0.5000 0.0000  6 O 3.01-3.05
Rb4 0.5000 0.7509 0.5000  6 O 2.88-3.12
Mn1 0.0000 0.4751 0.0000  4 O 2.06-2.09
Mn2 0.5000 0.9751 0.0000  4 O 2.06-2.09
Sb1 0.0000 0.7439 0.5000  4 O 1.98-2.07
Sb2 0.5000 0.2439 0.5000  4 O 1.98-2.07
O1 0.1214 0.5897 0.3866  1 Sb 1.98, 1 Mn 2.09
O2 0.2336 0.3170 0.1001  1 Mn 2.06, 1 Sb 2.07
O3 0.2664 0.8170 0.8999  1 Mn 2.06, 1 Sb 2.07
O4 0.3786 0.0897 0.6134  1 Sb 1.98, 1 Mn 2.09
O5 0.6214 0.0897 0.3866  1 Sb 1.98, 1 Mn 2.09
O6 0.7336 0.8170 0.1001  1 Mn 2.06, 1 Sb 2.07
O7 0.7664 0.3170 0.8999  1 Mn 2.06, 1 Sb 2.07
O8 0.8786 0.5897 0.6134  1 Sb 1.98, 1 Mn 2.09

Symmetry: C2
VASP energy, eV/atom: -5.64
Density, g/cm3: 4.4
Total magnetic moment, μB per formula unit: 4.1
Crystal system: monoclinic